1.
The following is a DFT calculation (PBE) of a relaxed structure of SmSn6Ir.

Output
raw total energy	-4.871	eV per atom
magnetization	0.0	μB per formula unit
space group	C2/m
energy of formation	-171	meV/atom

Geometry as POSCAR:
```
SmSn6Ir
1.0
6.5353 0.0000 0.0000
0.0000 10.7551 0.0000
-2.8972 0.0000 5.9150
Sm Sn Ir
2 12 2
direct
0.0000 0.0000 0.0000 Sm
0.5000 0.5000 0.0000 Sm
0.0513 0.5000 0.2898 Sn
0.1342 0.2266 0.7475 Sn
0.1342 0.7734 0.7475 Sn
0.3658 0.2734 0.2525 Sn
0.3658 0.7266 0.2525 Sn
0.4487 0.0000 0.7102 Sn
0.5513 0.0000 0.2898 Sn
0.6342 0.2734 0.7475 Sn
0.6342 0.7266 0.7475 Sn
0.8658 0.2266 0.2525 Sn
0.8658 0.7734 0.2525 Sn
0.9487 0.5000 0.7102 Sn
0.0000 0.0000 0.5000 Ir
0.5000 0.5000 0.5000 Ir
```

2.
The following is a DFT calculation (PBE) of a relaxed structure of Sm2SnIr.

Output
raw total energy	-5.868	eV per atom
magnetization	0.0	μB per formula unit
space group	R-3m
polymorph energy (0 for the lowest one)	451.7	meV/atom
energy of formation	-292	meV/atom

Geometry as POSCAR:
```
Sm2SnIr
1.0
3.9896 0.0000 0.0000
-1.9948 3.4551 0.0000
0.0000 0.0000 28.8966
Sm Sn Ir
6 3 3
direct
0.0000 0.0000 0.1119 Sm
0.0000 0.0000 0.8881 Sm
0.3333 0.6667 0.5547 Sm
0.3333 0.6667 0.7786 Sm
0.6667 0.3333 0.2214 Sm
0.6667 0.3333 0.4453 Sm
0.0000 0.0000 0.0000 Sn
0.3333 0.6667 0.6667 Sn
0.6667 0.3333 0.3333 Sn
0.0000 0.0000 0.5000 Ir
0.3333 0.6667 0.1667 Ir
0.6667 0.3333 0.8333 Ir
```

3.
The following is a DFT calculation (PBE) of a relaxed structure of SmSn3Ir.

Output
raw total energy	-5.537	eV per atom
magnetization	0.0	μB per formula unit
space group	Pmmn
energy of formation	-420	meV/atom

Geometry as POSCAR:
```
SmSn3Ir
1.0
4.5088 0.0000 0.0000
0.0000 7.1288 0.0000
0.0000 0.0000 7.7285
Sm Sn Ir
2 6 2
direct
0.2500 0.2500 0.2422 Sm
0.7500 0.7500 0.7578 Sm
0.2500 0.0337 0.8448 Sn
0.2500 0.4663 0.8448 Sn
0.2500 0.7500 0.4534 Sn
0.7500 0.2500 0.5466 Sn
0.7500 0.5337 0.1552 Sn
0.7500 0.9663 0.1552 Sn
0.2500 0.7500 0.1068 Ir
0.7500 0.2500 0.8932 Ir
```

Number 3 is which compound? SmSn3Ir